DFT (PBE-GGA) results for a relaxed structure of Pa2AlCo4Si3.

```
Pa2AlCo4Si3
1.0
3.8868 0.0000 0.0000
0.0000 3.8868 0.0000
0.0000 0.0000 9.8242
Pa Al Co Si
2 1 4 3
Cartesian
1.9434 0.0000 2.4267
0.0000 1.9434 7.3975
1.9434 1.9434 4.9121
1.9434 1.9434 0.0000
0.0000 0.0000 0.0000
1.9434 0.0000 6.3033
0.0000 1.9434 3.5209
0.0000 0.0000 4.9121
1.9434 0.0000 8.5890
0.0000 1.9434 1.2352
```

Results
* DOS(E_F): 8.3 states/eV per cell
* raw formation energy: -7.29 eV/f.u.